A plane-wave DFT calculation with PBE was carried out for UInPd after structural relaxation.

spin magnetization = 2.48 μB per cell
space-group type = F-43m
final energy = -6.42 eV per atom
V = 73.8 Å³/cell

Cell lengths 4.7082, 4.7082, 4.7082 Å; angles 60.00, 60.00, 60.00 degrees
With the nearest neighbours (Å) after each atom.
Positions (direct):
In1 0.7500 0.7500 0.7500  4 Pd 2.88
Pd1 0.0000 0.0000 0.0000  4 U 2.88, 4 In 2.88
U1 0.2500 0.2500 0.2500  4 Pd 2.88